The following is a DFT calculation (PBE with a Hubbard U) of CsBa2V2O7 after structural relaxation.

Computed properties:
space group = R32
M_tot = 1.001 μB per formula unit

The structure in CIF format:
```
data_CsBa2V2O7
_chemical_formula_sum 'Cs1 Ba2 V2 O7'
_symmetry_space_group_name_H-M 'P 1'
_symmetry_Int_Tables_number 1
_symmetry_space_group_name_Hall 'P 1'
_cell_length_a 9.398
_cell_length_b 9.398
_cell_length_c 9.398
_cell_angle_alpha 39.98
_cell_angle_beta 39.98
_cell_angle_gamma 39.98
loop_
_atom_site_label
_atom_site_type_symbol
_atom_site_fract_x
_atom_site_fract_y
_atom_site_fract_z
Cs1 Cs 0.000 0.000 0.000
Ba1 Ba 0.226 0.226 0.226
Ba2 Ba 0.774 0.774 0.774
V1 V 0.430 0.430 0.430
V2 V 0.570 0.570 0.570
O1 O 0.145 0.416 0.672
O2 O 0.328 0.584 0.855
O3 O 0.416 0.672 0.145
O4 O 0.500 0.500 0.500
O5 O 0.584 0.855 0.328
O6 O 0.672 0.145 0.416
O7 O 0.855 0.328 0.584
```


The following is a DFT calculation (PBE with a Hubbard U) of Cs2BaV2O6 after structural relaxation.

Computed properties:
space group = R-3m
M_tot = 0.068 μB per formula unit

The structure in CIF format:
```
data_Cs2BaV2O6
_chemical_formula_sum 'Cs2 Ba1 V2 O6'
_symmetry_space_group_name_H-M 'P 1'
_symmetry_Int_Tables_number 1
_symmetry_space_group_name_Hall 'P 1'
_cell_length_a 7.684
_cell_length_b 7.684
_cell_length_c 7.684
_cell_angle_alpha 50.61
_cell_angle_beta 50.61
_cell_angle_gamma 50.61
loop_
_atom_site_label
_atom_site_type_symbol
_atom_site_fract_x
_atom_site_fract_y
_atom_site_fract_z
Cs1 Cs 0.214 0.214 0.214
Cs2 Cs 0.786 0.786 0.786
Ba1 Ba 0.000 0.000 0.000
V1 V 0.433 0.433 0.433
V2 V 0.567 0.567 0.567
O1 O 0.269 0.269 0.717
O2 O 0.269 0.717 0.269
O3 O 0.283 0.731 0.731
O4 O 0.717 0.269 0.269
O5 O 0.731 0.283 0.731
O6 O 0.731 0.731 0.283
```


The following is a DFT calculation (PBE with a Hubbard U) of Cs4BaV6O18 after structural relaxation.

Computed properties:
space group = R3c
M_tot = 0.337 μB per formula unit

The structure in CIF format:
```
data_Cs4BaV6O18
_chemical_formula_sum 'Cs8 Ba2 V12 O36'
_symmetry_space_group_name_H-M 'P 1'
_symmetry_Int_Tables_number 1
_symmetry_space_group_name_Hall 'P 1'
_cell_length_a 10.663
_cell_length_b 10.663
_cell_length_c 10.663
_cell_angle_alpha 83.72
_cell_angle_beta 83.72
_cell_angle_gamma 83.72
loop_
_atom_site_label
_atom_site_type_symbol
_atom_site_fract_x
_atom_site_fract_y
_atom_site_fract_z
Cs1 Cs 0.000 0.000 0.000
Cs2 Cs 0.090 0.911 0.487
Cs3 Cs 0.411 0.590 0.987
Cs4 Cs 0.487 0.090 0.911
Cs5 Cs 0.500 0.500 0.500
Cs6 Cs 0.590 0.987 0.411
Cs7 Cs 0.911 0.487 0.090
Cs8 Cs 0.987 0.411 0.590
Ba1 Ba 0.274 0.274 0.274
Ba2 Ba 0.774 0.774 0.774
V1 V 0.105 0.672 0.802
V2 V 0.172 0.605 0.302
V3 V 0.194 0.337 0.878
V4 V 0.302 0.172 0.605
V5 V 0.337 0.878 0.194
V6 V 0.378 0.837 0.694
V7 V 0.605 0.302 0.172
V8 V 0.672 0.802 0.105
V9 V 0.694 0.378 0.837
V10 V 0.802 0.105 0.672
V11 V 0.837 0.694 0.378
V12 V 0.878 0.194 0.337
O1 O 0.003 0.279 0.296
O2 O 0.010 0.670 0.348
O3 O 0.029 0.678 0.672
O4 O 0.053 0.283 0.910
O5 O 0.170 0.510 0.848
O6 O 0.172 0.178 0.529
O7 O 0.178 0.529 0.172
O8 O 0.223 0.495 0.415
O9 O 0.237 0.771 0.777
O10 O 0.271 0.737 0.277
O11 O 0.277 0.271 0.737
O12 O 0.279 0.296 0.003
O13 O 0.283 0.910 0.053
O14 O 0.296 0.003 0.279
O15 O 0.348 0.010 0.670
O16 O 0.410 0.783 0.553
O17 O 0.415 0.223 0.495
O18 O 0.495 0.415 0.223
O19 O 0.503 0.796 0.779
O20 O 0.510 0.848 0.170
O21 O 0.529 0.172 0.178
O22 O 0.553 0.410 0.783
O23 O 0.670 0.348 0.010
O24 O 0.672 0.029 0.678
O25 O 0.678 0.672 0.029
O26 O 0.723 0.915 0.995
O27 O 0.737 0.277 0.271
O28 O 0.771 0.777 0.237
O29 O 0.777 0.237 0.771
O30 O 0.779 0.503 0.796
O31 O 0.783 0.553 0.410
O32 O 0.796 0.779 0.503
O33 O 0.848 0.170 0.510
O34 O 0.910 0.053 0.283
O35 O 0.915 0.995 0.723
O36 O 0.995 0.723 0.915
```


The following is a DFT calculation (PBE with a Hubbard U) of CsBaV2O6 after structural relaxation.

Computed properties:
space group = C2/c
M_tot = 1.000 μB per formula unit

The structure in CIF format:
```
data_CsBaV2O6
_chemical_formula_sum 'Cs2 Ba2 V4 O12'
_symmetry_space_group_name_H-M 'P 1'
_symmetry_Int_Tables_number 1
_symmetry_space_group_name_Hall 'P 1'
_cell_length_a 8.170
_cell_length_b 8.170
_cell_length_c 5.954
_cell_angle_alpha 95.86
_cell_angle_beta 95.86
_cell_angle_gamma 91.70
loop_
_atom_site_label
_atom_site_type_symbol
_atom_site_fract_x
_atom_site_fract_y
_atom_site_fract_z
Cs1 Cs 0.166 0.834 0.750
Cs2 Cs 0.834 0.166 0.250
Ba1 Ba 0.383 0.617 0.250
Ba2 Ba 0.617 0.383 0.750
V1 V 0.142 0.305 0.783
V2 V 0.305 0.142 0.283
V3 V 0.695 0.858 0.717
V4 V 0.858 0.695 0.217
O1 O 0.060 0.642 0.259
O2 O 0.169 0.185 0.030
O3 O 0.185 0.169 0.530
O4 O 0.290 0.465 0.829
O5 O 0.358 0.940 0.241
O6 O 0.465 0.290 0.329
O7 O 0.535 0.710 0.671
O8 O 0.642 0.060 0.759
O9 O 0.710 0.535 0.171
O10 O 0.815 0.831 0.470
O11 O 0.831 0.815 0.970
O12 O 0.940 0.358 0.741
```


The evaluated DFT total energy for the records listed, in turn: -6.659, -6.445, -6.893, -6.917 eV per atom.